(1)
A geometry-optimized MnHgI2 structure, computed with GGA-PBE. Values from VASP.

Quantum ESPRESSO input file:
```
&SYSTEM
  ibrav = 0, nat = 4, ntyp = 3
/
ATOMIC_SPECIES
I 126.90 I.upf
Hg 200.59 Hg.upf
Mn 54.94 Mn.upf
ATOMIC_POSITIONS angstrom
I 2.5677 1.6688 3.8691
I 0.5076 1.2067 7.3747
Hg -1.5745 3.2268 -0.1339
Mn 0.5081 3.1844 5.2463
CELL_PARAMETERS angstrom
4.1261 -0.0001 -0.0035
-2.0635 3.4932 -0.7528
0.0004 -0.0824 10.7632
```

=====

(2)
A geometry-optimized MnHgI2 structure, computed with GGA-PBE. Values from VASP.

Quantum ESPRESSO input file:
```
&SYSTEM
  ibrav = 0, nat = 4, ntyp = 3
/
ATOMIC_SPECIES
I 126.90 I.upf
Hg 200.59 Hg.upf
Mn 54.94 Mn.upf
ATOMIC_POSITIONS angstrom
I 1.9495 1.9495 1.9495
Hg 3.8991 3.8991 3.8991
I 5.8486 5.8486 5.8486
Mn 0.0000 0.0000 0.0000
CELL_PARAMETERS angstrom
0.0000 3.8991 3.8991
3.8991 0.0000 3.8991
3.8991 3.8991 0.0000
```

=====

(3)
A geometry-optimized MnHgI2 structure, computed with GGA-PBE. Values from VASP.

Quantum ESPRESSO input file:
```
&SYSTEM
  ibrav = 0, nat = 8, ntyp = 3
/
ATOMIC_SPECIES
I 126.90 I.upf
Mn 54.94 Mn.upf
Hg 200.59 Hg.upf
ATOMIC_POSITIONS angstrom
I 9.7432 8.7589 3.7090
Mn 3.8973 3.8973 0.0000
Mn 3.8973 7.7945 2.4726
I 5.8459 6.8302 3.7090
Hg 0.0000 0.0000 0.0000
I 4.8616 1.9486 1.2363
Hg 7.7945 3.8973 2.4726
I 2.9329 5.8459 1.2363
CELL_PARAMETERS angstrom
7.7945 0.0000 0.0000
0.0000 7.7945 0.0000
3.8973 3.8973 4.9453
```

=====

Energies relative to the most stable structure are (1) 0; (2) 517; (3) 616, reported in meV per atom.

=====

(1)
A geometry-optimized Mn2HgI6 structure, computed with GGA-PBE. Values from VASP.

Quantum ESPRESSO input file:
```
&SYSTEM
  ibrav = 0, nat = 9, ntyp = 3
/
ATOMIC_SPECIES
I 126.90 I.upf
Mn 54.94 Mn.upf
Hg 200.59 Hg.upf
ATOMIC_POSITIONS angstrom
I -1.2966 -3.4802 0.5218
Mn -4.7637 -8.4598 3.2928
I -5.0177 -2.7365 -1.5988
I -6.3739 -9.4588 1.3500
Hg -0.7263 -5.1450 2.7837
Mn -2.9068 -4.4793 -1.4209
I -2.6528 -10.2026 3.4707
I -3.8299 -5.9724 2.9317
I -3.8406 -6.9667 -1.0599
CELL_PARAMETERS angstrom
-3.5955 1.6585 2.1272
-2.6224 -4.3075 -5.8228
-1.4527 -10.2901 5.5674
```

=====

(2)
A geometry-optimized Mn2HgI6 structure, computed with GGA-PBE. Values from VASP.

Quantum ESPRESSO input file:
```
&SYSTEM
  ibrav = 0, nat = 18, ntyp = 3
/
ATOMIC_SPECIES
I 126.90 I.upf
Hg 200.59 Hg.upf
Mn 54.94 Mn.upf
ATOMIC_POSITIONS angstrom
I 4.5542 7.3675 7.9528
Hg 7.6333 8.3505 4.6011
Mn 3.0779 1.8542 4.9633
I 7.0881 2.2971 2.1817
Mn 7.0838 3.7820 4.4227
I 5.4499 2.4224 6.1428
I 2.9159 7.4928 11.9138
I 4.0021 3.6100 10.3363
I 2.9514 -0.1494 3.1753
Mn 2.9202 6.0079 9.6728
Mn 6.9262 7.9357 9.1323
I 1.2492 1.2908 6.8866
I 8.7548 8.4991 7.2090
Hg 2.3707 1.4395 9.4945
I 6.0020 6.1800 3.7593
I 2.3480 4.0795 3.5518
I 7.6561 5.7104 10.5438
I 7.0527 9.9393 10.9203
CELL_PARAMETERS angstrom
7.0703 0.1218 2.1806
2.9574 10.7447 0.7945
-0.0237 -1.0765 11.1205
```

=====

Energies relative to the most stable structure are (1) 45; (2) 0, reported in meV per atom.

=====

(1)
A geometry-optimized MnHgI structure, computed with GGA-PBE. Values from VASP.

Quantum ESPRESSO input file:
```
&SYSTEM
  ibrav = 0, nat = 6, ntyp = 3
/
ATOMIC_SPECIES
I 126.90 I.upf
Mn 54.94 Mn.upf
Hg 200.59 Hg.upf
ATOMIC_POSITIONS angstrom
I -1.5510 -0.1021 0.0743
Mn -2.2144 -4.9812 -2.2447
I -4.5371 -0.8823 2.5205
Hg -5.7916 -3.0304 0.3196
Mn -5.5195 -2.8504 -2.4580
Hg -2.8055 -2.2502 -2.1266
CELL_PARAMETERS angstrom
-0.4116 -4.7427 -5.1419
0.3189 -2.9110 2.6595
-6.2912 1.3506 2.2328
```

=====

(2)
A geometry-optimized MnHgI structure, computed with GGA-PBE. Values from VASP.

Quantum ESPRESSO input file:
```
&SYSTEM
  ibrav = 0, nat = 6, ntyp = 3
/
ATOMIC_SPECIES
Mn 54.94 Mn.upf
Hg 200.59 Hg.upf
I 126.90 I.upf
ATOMIC_POSITIONS angstrom
Mn 2.2896 2.6826 3.2784
Hg 3.3754 4.8636 2.1019
I 1.0608 3.3493 5.4370
Hg -1.2331 -0.2367 4.8340
Mn -0.1473 1.9443 3.6575
I 1.0815 1.2775 1.4989
CELL_PARAMETERS angstrom
4.2413 0.0573 -0.0335
-0.3359 6.8213 -0.0380
-1.7631 -2.2517 7.0075
```

=====

Energies relative to the most stable structure are (1) 0; (2) 223, reported in meV per atom.

=====

(1)
A geometry-optimized MnHgI structure, computed with GGA-PBE. Values from VASP.

Quantum ESPRESSO input file:
```
&SYSTEM
  ibrav = 0, nat = 12, ntyp = 3
/
ATOMIC_SPECIES
I 126.90 I.upf
Mn 54.94 Mn.upf
Hg 200.59 Hg.upf
ATOMIC_POSITIONS angstrom
I 0.0250 -1.4720 1.1122
Mn -9.1652 -3.8097 1.2234
I -4.3243 -3.7611 4.2398
Mn -0.8799 -3.9712 0.8233
Hg -7.1972 -5.0350 2.5871
Hg -2.8479 -2.7459 -0.5405
Hg -7.2467 -2.1211 0.3854
Mn -4.8159 -1.5207 -1.9042
I 0.0741 -4.3557 3.2911
Hg -2.7984 -5.6598 1.6612
I -4.3743 -0.8171 2.0153
Mn -5.3283 -0.4325 -0.4525
CELL_PARAMETERS angstrom
-1.3465 -3.2028 -4.2084
0.0991 -5.8277 4.4034
-8.7976 1.2496 1.8517
```

=====

(2)
A geometry-optimized MnHgI structure, computed with GGA-PBE. Values from VASP.

Quantum ESPRESSO input file:
```
&SYSTEM
  ibrav = 0, nat = 6, ntyp = 3
/
ATOMIC_SPECIES
I 126.90 I.upf
Hg 200.59 Hg.upf
Mn 54.94 Mn.upf
ATOMIC_POSITIONS angstrom
I 2.1193 4.9075 1.1380
Hg 5.1252 11.2013 0.0156
Mn 1.3464 -0.5641 0.4088
Hg 0.7062 1.8664 1.6879
I 3.6678 8.1788 0.5520
Mn 4.2508 5.6231 -0.7043
CELL_PARAMETERS angstrom
-0.7072 0.9991 3.7081
3.3583 -1.7585 -0.9418
5.8497 12.3573 -2.2138
```

=====

(3)
A geometry-optimized MnHgI structure, computed with GGA-PBE. Values from VASP.

Quantum ESPRESSO input file:
```
&SYSTEM
  ibrav = 0, nat = 6, ntyp = 3
/
ATOMIC_SPECIES
Mn 54.94 Mn.upf
Hg 200.59 Hg.upf
I 126.90 I.upf
ATOMIC_POSITIONS angstrom
Mn 0.7380 4.5560 3.5998
Hg 0.8183 1.6526 1.3145
I 4.5730 7.4883 4.2812
Mn 2.8825 2.6604 2.9187
I 2.5522 5.0325 1.5113
Hg 2.9513 4.0593 5.3863
CELL_PARAMETERS angstrom
3.9918 0.3615 -0.3222
1.3596 7.0022 -0.1828
0.2571 2.8329 6.3967
```

=====

(4)
A geometry-optimized MnHgI structure, computed with GGA-PBE. Values from VASP.

Quantum ESPRESSO input file:
```
&SYSTEM
  ibrav = 0, nat = 12, ntyp = 3
/
ATOMIC_SPECIES
I 126.90 I.upf
Hg 200.59 Hg.upf
Mn 54.94 Mn.upf
ATOMIC_POSITIONS angstrom
I -8.5135 5.4940 12.0987
Hg -7.7623 1.7277 10.4887
Mn -1.7073 4.8917 3.8005
Mn -6.1581 5.4622 11.1858
I -2.5522 2.7621 0.8749
Mn -8.3678 4.9691 9.6318
Hg 1.0100 1.1803 1.8038
Hg -1.1018 1.6503 4.6574
I -6.0171 4.9384 8.7254
Hg -5.6504 1.2577 7.6351
I -5.0487 3.3177 4.2482
Mn -2.6932 3.2859 3.3354
CELL_PARAMETERS angstrom
-2.0793 4.8508 -2.3378
-10.1253 2.2537 13.6817
3.1956 2.0989 2.0192
```

=====

Energies relative to the most stable structure are (1) 196; (2) 86; (3) 0; (4) 217, reported in meV per atom.

=====

(1)
A geometry-optimized MnHgI structure, computed with GGA-PBE. Values from VASP.

Quantum ESPRESSO input file:
```
&SYSTEM
  ibrav = 0, nat = 6, ntyp = 3
/
ATOMIC_SPECIES
Mn 54.94 Mn.upf
Hg 200.59 Hg.upf
I 126.90 I.upf
ATOMIC_POSITIONS angstrom
Mn 0.4418 -1.2208 3.7270
Hg 0.2200 -2.8816 1.2371
Mn -2.1305 -2.5796 2.7896
Hg -1.9090 -0.9173 5.2784
I 1.6080 0.2896 5.8991
I 3.1959 -1.6411 2.8493
CELL_PARAMETERS angstrom
-0.6787 -3.7049 -0.3668
5.8141 -1.2569 1.8649
-3.2882 1.9464 6.6468
```

=====

(2)
A geometry-optimized MnHgI structure, computed with GGA-PBE. Values from VASP.

Quantum ESPRESSO input file:
```
&SYSTEM
  ibrav = 0, nat = 6, ntyp = 3
/
ATOMIC_SPECIES
I 126.90 I.upf
Mn 54.94 Mn.upf
Hg 200.59 Hg.upf
ATOMIC_POSITIONS angstrom
I 6.0584 5.9277 6.5795
Mn 4.3510 1.2467 4.2836
Mn 1.5323 1.2055 4.2990
Hg 2.8728 3.8171 1.1718
Hg 2.9064 3.6158 4.3904
I 6.0863 1.4067 2.1926
CELL_PARAMETERS angstrom
6.3313 0.0845 -0.0482
-0.0690 4.7783 0.2345
0.0413 1.9474 7.9651
```

=====

Energies relative to the most stable structure are (1) 0; (2) 12, reported in meV per atom.

=====

(1)
A geometry-optimized MnHgI structure, computed with GGA-PBE. Values from VASP.

Quantum ESPRESSO input file:
```
&SYSTEM
  ibrav = 0, nat = 6, ntyp = 3
/
ATOMIC_SPECIES
Mn 54.94 Mn.upf
Hg 200.59 Hg.upf
I 126.90 I.upf
ATOMIC_POSITIONS angstrom
Mn -2.6042 -2.9979 2.3536
Hg -3.0322 -4.1520 -0.2406
Mn -5.3461 -4.2031 1.5815
Hg -4.9125 -3.0452 4.1758
I -1.7685 -1.1420 4.4450
I -3.3934 -0.6072 0.9547
CELL_PARAMETERS angstrom
-3.3518 1.7782 -0.2373
-2.7874 -5.4476 -1.4624
-0.5393 -0.1000 6.8708
```

=====

(2)
A geometry-optimized MnHgI structure, computed with GGA-PBE. Values from VASP.

Quantum ESPRESSO input file:
```
&SYSTEM
  ibrav = 0, nat = 6, ntyp = 3
/
ATOMIC_SPECIES
I 126.90 I.upf
Mn 54.94 Mn.upf
Hg 200.59 Hg.upf
ATOMIC_POSITIONS angstrom
I 0.1231 -3.7724 3.9455
Mn -0.9401 -1.2471 3.6730
Hg -0.0309 -0.5777 1.2207
I -0.1438 -0.2030 6.0272
Mn -3.0075 -0.2247 1.9417
Hg -2.4703 1.7808 3.9294
CELL_PARAMETERS angstrom
-3.3563 -1.5533 -1.6783
2.8580 -5.2397 4.1018
-1.9700 3.7800 5.3958
```

=====

Energies relative to the most stable structure are (1) 0; (2) 28, reported in meV per atom.

=====

(1)
A geometry-optimized MnHg2I structure, computed with GGA-PBE. Values from VASP.

Quantum ESPRESSO input file:
```
&SYSTEM
  ibrav = 0, nat = 4, ntyp = 3
/
ATOMIC_SPECIES
Hg 200.59 Hg.upf
Mn 54.94 Mn.upf
I 126.90 I.upf
ATOMIC_POSITIONS angstrom
Hg 1.4696 -0.5267 2.9862
Mn 0.0000 0.0000 0.0000
Hg 4.4088 -1.5802 8.9586
I 2.9392 -1.0534 5.9724
CELL_PARAMETERS angstrom
4.3251 1.2537 3.1624
-0.6136 0.4446 5.4502
2.1670 -3.8052 3.3322
```

=====

(2)
A geometry-optimized MnHg2I structure, computed with GGA-PBE. Values from VASP.

Quantum ESPRESSO input file:
```
&SYSTEM
  ibrav = 0, nat = 8, ntyp = 3
/
ATOMIC_SPECIES
Mn 54.94 Mn.upf
I 126.90 I.upf
Hg 200.59 Hg.upf
ATOMIC_POSITIONS angstrom
Mn -6.1566 0.0749 1.6733
I 0.0000 0.0000 0.0000
I -8.9417 3.4739 3.4381
Hg -9.0798 -0.0077 4.7455
Hg -5.6201 2.8987 1.8612
Hg -14.4190 0.9186 6.0689
Mn -8.7763 -2.8417 4.3293
Hg -6.3172 -2.5451 2.8591
CELL_PARAMETERS angstrom
-6.3219 6.3906 0.7821
-5.9912 -6.2407 2.5646
-5.4049 0.4823 4.4207
```

=====

Energies relative to the most stable structure are (1) 323; (2) 0, reported in meV per atom.

=====

(1)
A geometry-optimized MnHgI2N structure, computed with GGA-PBE. Values from VASP.

Quantum ESPRESSO input file:
```
&SYSTEM
  ibrav = 0, nat = 5, ntyp = 4
/
ATOMIC_SPECIES
Hg 200.59 Hg.upf
I 126.90 I.upf
Mn 54.94 Mn.upf
N 14.01 N.upf
ATOMIC_POSITIONS angstrom
Hg 2.8925 2.8925 1.8175
I 0.0000 2.8925 0.0000
I 2.8925 0.0000 0.0000
Mn 0.0000 0.0000 0.0000
N 0.0000 0.0000 1.8175
CELL_PARAMETERS angstrom
5.7849 0.0000 0.0000
0.0000 5.7849 0.0000
0.0000 0.0000 3.6350
```

=====

(2)
A geometry-optimized MnHgI2N structure, computed with GGA-PBE. Values from VASP.

Quantum ESPRESSO input file:
```
&SYSTEM
  ibrav = 0, nat = 5, ntyp = 4
/
ATOMIC_SPECIES
Mn 54.94 Mn.upf
N 14.01 N.upf
Hg 200.59 Hg.upf
I 126.90 I.upf
ATOMIC_POSITIONS angstrom
Mn 3.1097 3.1097 2.0490
N 0.0000 0.0000 2.0490
Hg 0.0000 0.0000 0.0000
I 3.1097 0.0000 0.0000
I 0.0000 3.1097 0.0000
CELL_PARAMETERS angstrom
6.2194 0.0000 0.0000
0.0000 6.2194 0.0000
0.0000 0.0000 4.0979
```

=====

Energies relative to the most stable structure are (1) 0; (2) 868, reported in meV per atom.

=====

(1)
A geometry-optimized HgMo2I2 structure, computed with GGA-PBE. Values from VASP.

Quantum ESPRESSO input file:
```
&SYSTEM
  ibrav = 0, nat = 5, ntyp = 3
/
ATOMIC_SPECIES
Hg 200.59 Hg.upf
I 126.90 I.upf
Mo 95.94 Mo.upf
ATOMIC_POSITIONS angstrom
Hg 0.0000 0.0000 0.0000
I 2.8633 5.7266 2.1006
Mo 5.7266 5.7266 3.1798
I 5.7266 2.8633 2.1006
Mo 2.8633 2.8633 1.0215
CELL_PARAMETERS angstrom
5.7266 0.0000 0.0000
0.0000 5.7266 0.0000
2.8633 2.8633 4.2013
```

=====

(2)
A geometry-optimized HgMo2I2 structure, computed with GGA-PBE. Values from VASP.

Quantum ESPRESSO input file:
```
&SYSTEM
  ibrav = 0, nat = 10, ntyp = 3
/
ATOMIC_SPECIES
I 126.90 I.upf
Mo 95.94 Mo.upf
Hg 200.59 Hg.upf
ATOMIC_POSITIONS angstrom
I -3.2226 -2.3162 3.9734
Mo -3.2922 2.9062 1.4104
I -4.6511 3.1311 4.4523
I -1.4671 1.1563 3.0617
Hg -4.8536 0.3436 2.2046
Mo -7.2067 2.0931 3.2232
Mo -6.4150 -2.2190 2.9988
Hg 0.0000 0.0000 0.0000
I -6.4067 -0.3415 5.3640
Mo -2.5004 -1.4059 1.1861
CELL_PARAMETERS angstrom
-4.6049 5.6722 1.9217
-5.1023 -4.9850 2.4875
1.8334 0.1277 4.0165
```

=====

Energies relative to the most stable structure are (1) 0; (2) 106, reported in meV per atom.

=====

(1)
A geometry-optimized HgMoI2N structure, computed with GGA-PBE. Values from VASP.

Quantum ESPRESSO input file:
```
&SYSTEM
  ibrav = 0, nat = 5, ntyp = 4
/
ATOMIC_SPECIES
Hg 200.59 Hg.upf
I 126.90 I.upf
Mo 95.94 Mo.upf
N 14.01 N.upf
ATOMIC_POSITIONS angstrom
Hg 0.0000 0.0000 0.0000
I 0.0000 3.1088 0.0000
Mo 3.1088 3.1088 1.9703
I 3.1088 0.0000 0.0000
N 0.0000 0.0000 1.9703
CELL_PARAMETERS angstrom
6.2176 0.0000 0.0000
0.0000 6.2176 0.0000
0.0000 0.0000 3.9406
```

=====

(2)
A geometry-optimized HgMoI2N structure, computed with GGA-PBE. Values from VASP.

Quantum ESPRESSO input file:
```
&SYSTEM
  ibrav = 0, nat = 5, ntyp = 4
/
ATOMIC_SPECIES
Hg 200.59 Hg.upf
Mo 95.94 Mo.upf
I 126.90 I.upf
N 14.01 N.upf
ATOMIC_POSITIONS angstrom
Hg 2.8850 2.8850 1.9291
Mo 0.0000 0.0000 0.0000
I 2.8850 0.0000 0.0000
I 0.0000 2.8850 0.0000
N 0.0000 0.0000 1.9291
CELL_PARAMETERS angstrom
5.7700 0.0000 0.0000
0.0000 5.7700 0.0000
0.0000 0.0000 3.8582
```

=====

Energies relative to the most stable structure are (1) 1382; (2) 0, reported in meV per atom.

=====

(1)
A geometry-optimized HgOsI2N structure, computed with GGA-PBE. Values from VASP.

Quantum ESPRESSO input file:
```
&SYSTEM
  ibrav = 0, nat = 5, ntyp = 4
/
ATOMIC_SPECIES
Os 190.23 Os.upf
Hg 200.59 Hg.upf
N 14.01 N.upf
I 126.90 I.upf
ATOMIC_POSITIONS angstrom
Os 3.0618 3.0618 1.9461
Hg 0.0000 0.0000 0.0000
N 0.0000 0.0000 1.9461
I 0.0000 3.0618 0.0000
I 3.0618 0.0000 0.0000
CELL_PARAMETERS angstrom
6.1235 0.0000 0.0000
0.0000 6.1235 0.0000
0.0000 0.0000 3.8922
```

=====

(2)
A geometry-optimized HgOsI2N structure, computed with GGA-PBE. Values from VASP.

Quantum ESPRESSO input file:
```
&SYSTEM
  ibrav = 0, nat = 5, ntyp = 4
/
ATOMIC_SPECIES
I 126.90 I.upf
N 14.01 N.upf
Hg 200.59 Hg.upf
Os 190.23 Os.upf
ATOMIC_POSITIONS angstrom
I 2.8424 0.0000 0.0000
N 0.0000 0.0000 1.8782
I 0.0000 2.8424 0.0000
Hg 2.8424 2.8424 1.8782
Os 0.0000 0.0000 0.0000
CELL_PARAMETERS angstrom
5.6849 0.0000 0.0000
0.0000 5.6849 0.0000
0.0000 0.0000 3.7564
```

=====

Energies relative to the most stable structure are (1) 1744; (2) 0, reported in meV per atom.